(1)
Computed, not measured: a relaxed Tb2Nd2YHo4 crystal at the PBE-GGA level of DFT.

## Properties
space-group type	No. 12
crystal system	monoclinic
calculated formation energy	0.0	eV/f.u.

Lattice parameters (Å, degrees): 9.5264 9.5264 9.5807 115.23 115.23 21.82
Closest atoms and distances in Å follow each position.
Fractional coordinates of all 9 atoms:
Tb: 0.1472 0.1472 0.1629  7 Ho 3.50-3.61, 3 Nd 3.58-3.59, 2 Tb 3.61
Tb: 0.8528 0.8528 0.8371  7 Ho 3.50-3.61, 3 Nd 3.58-3.59, 2 Tb 3.61
Nd: 0.3341 0.3341 0.5004  3 Ho 3.56-3.57, 3 Tb 3.58-3.59, 2 Y 3.59, 4 Nd 3.61-3.62
Nd: 0.6659 0.6659 0.4996  3 Ho 3.56-3.57, 3 Tb 3.58-3.59, 2 Y 3.59, 4 Nd 3.61-3.62
Y: 0.0000 0.0000 0.5000  6 Ho 3.56-3.57, 4 Nd 3.59, 2 Y 3.61
Ho: 0.1855 0.1855 0.8363  3 Tb 3.50-3.61, 6 Ho 3.51-3.61, 1 Y 3.57, 2 Nd 3.57
Ho: 0.4805 0.4805 0.1644  4 Tb 3.50-3.61, 5 Ho 3.53-3.61, 1 Nd 3.56, 2 Y 3.56
Ho: 0.5195 0.5195 0.8356  4 Tb 3.50-3.61, 5 Ho 3.53-3.61, 1 Nd 3.56, 2 Y 3.56
Ho: 0.8145 0.8145 0.1637  3 Tb 3.50-3.61, 6 Ho 3.51-3.61, 1 Y 3.57, 2 Nd 3.57

(2)
Computed, not measured: a relaxed InSiAg crystal at the PBE-GGA level of DFT.

## Properties
space-group type	No. 44
raw formation energy	0.310	eV/atom
crystal system	orthorhombic

Lattice parameters (Å, degrees): 5.6118 5.6118 5.6118 149.48 137.71 53.04
Closest atoms and distances in Å follow each position.
Fractional coordinates of all 3 atoms:
In: 0.0000 0.0000 0.0000  2 In 2.95, 5 Si 3.12-3.14, 5 Ag 3.13-3.15
Si: 0.6891 0.6891 0.0000  4 Ag 2.80, 2 Si 2.95, 1 In 3.12
Ag: 0.3135 0.3135 0.0000  4 Si 2.80, 2 Ag 2.95, 4 In 3.13

(3)
Computed, not measured: a relaxed CsAgSbBr6 crystal at the PBE-GGA level of DFT.

## Properties
space-group type	No. 149
raw formation energy	-0.730	eV/atom
crystal system	trigonal

Lattice parameters (Å, degrees): 7.3845 7.3845 8.0504 90.00 90.00 120.00
Closest atoms and distances in Å follow each position.
Fractional coordinates of all 9 atoms:
Cs: 0.0000 0.0000 0.0000  6 Br 3.69
Ag: 0.3333 0.6667 0.5000  6 Br 2.89
Sb: 0.6667 0.3333 0.5000  6 Br 2.74
Br: 0.3821 0.0157 0.6973  1 Sb 2.74, 1 Ag 2.89
Br: 0.3821 0.3664 0.3027  1 Sb 2.74, 1 Ag 2.89
Br: 0.6336 0.0157 0.3027  1 Sb 2.74, 1 Ag 2.89
Br: 0.6336 0.6179 0.6973  1 Sb 2.74, 1 Ag 2.89
Br: 0.9843 0.3664 0.6973  1 Sb 2.74, 1 Ag 2.89
Br: 0.9843 0.6179 0.3027  1 Sb 2.74, 1 Ag 2.89

(4)
Computed, not measured: a relaxed BeHg2Sb2 crystal at the PBE-GGA level of DFT.

## Properties
space-group type	No. 127
raw formation energy	0.366	eV/atom
polymorph energy (0 for the lowest one)	126	meV/atom
crystal system	tetragonal

Lattice parameters (Å, degrees): 6.4367 6.4367 6.0093 90.00 90.00 90.00
Closest atoms and distances in Å follow each position.
Fractional coordinates of all 10 atoms:
Be: 0.0000 0.0000 0.0000  4 Hg 2.36
Be: 0.5000 0.5000 0.0000  4 Hg 2.36
Hg: 0.1818 0.3182 0.0000  2 Be 2.36
Hg: 0.3182 0.8182 0.0000  2 Be 2.36
Hg: 0.6818 0.1818 0.0000  2 Be 2.36
Hg: 0.8182 0.6818 0.0000  2 Be 2.36
Sb: 0.2161 0.2839 0.5000  2 Hg 3.02, 4 Sb 3.25
Sb: 0.2839 0.7839 0.5000  2 Hg 3.02, 4 Sb 3.25
Sb: 0.7161 0.2161 0.5000  2 Hg 3.02, 4 Sb 3.25
Sb: 0.7839 0.7161 0.5000  2 Hg 3.02, 4 Sb 3.25

In the order shown, the computed uncorrected energy values come out to -4.842, -3.361, -2.715, -2.149 eV per atom.
In the order shown, the computed size of the total moment values come out to 0.00, 0.00, 0.01, 0.00 μB/cell.
In the order shown, the computed Fermi-level density of states values come out to 12.37, 0.92, 14.67, 2.30 states/eV/f.u..